[1]
VASP calculation (SCAN) on Cr2FeRe at its PBEsol-relaxed geometry.

Geometry as CIF:
```
data_Cr2FeRe
_symmetry_space_group_name_H-M 'P m m m'
_symmetry_Int_Tables_number 47
_symmetry_space_group_name_Hall '-P 2 2'
_cell_length_a 2.9449
_cell_length_b 4.0340
_cell_length_c 4.0497
_cell_angle_alpha 90.00
_cell_angle_beta 90.00
_cell_angle_gamma 90.00
loop_
_atom_site_label
_atom_site_type_symbol
_atom_site_fract_x
_atom_site_fract_y
_atom_site_fract_z
Cr1 Cr 0.0000 0.0000 0.0000
Cr2 Cr 0.5000 0.5000 0.0000
Fe1 Fe 0.0000 0.5000 0.5000
Re1 Re 0.5000 0.0000 0.5000
```

## Properties
For the energy of formation from the pure elements, the calculation gives 0.00 eV/atom. The calculation puts the energy above the most stable polymorph in this dataset at 0 meV per atom.

[2]
VASP calculation (SCAN) on Cu4As2O9 at its PBEsol-relaxed geometry.

Geometry as CIF:
```
data_Cu4As2O9
_symmetry_space_group_name_H-M 'P n m a'
_symmetry_Int_Tables_number 62
_symmetry_space_group_name_Hall '-P 2ac 2n'
_cell_length_a 8.2325
_cell_length_b 6.3890
_cell_length_c 13.7735
_cell_angle_alpha 90.00
_cell_angle_beta 90.00
_cell_angle_gamma 90.00
loop_
_atom_site_label
_atom_site_type_symbol
_atom_site_fract_x
_atom_site_fract_y
_atom_site_fract_z
Cu1 Cu 0.0743 0.2500 0.0894
Cu2 Cu 0.1325 0.7500 0.4495
Cu3 Cu 0.1471 0.0086 0.6548
As1 As 0.0020 0.2500 0.8447
As2 As 0.1574 0.2500 0.4073
O1 O 0.0817 0.0205 0.3565
O2 O 0.1042 0.2500 0.5289
O3 O 0.1195 0.2500 0.7392
O4 O 0.1209 0.5321 0.1464
O5 O 0.1327 0.2500 0.9415
O6 O 0.1442 0.7500 0.8775
O7 O 0.1856 0.7500 0.5917
```

## Properties
For the raw formation energy, the calculation gives -1.008 eV per atom. The calculation puts the energy above the most stable polymorph in this dataset at 43 meV per atom.

[3]
VASP calculation (SCAN) on Fe3Ge2 at its PBEsol-relaxed geometry.

Geometry as CIF:
```
data_Fe3Ge2
_symmetry_space_group_name_H-M 'P -3 m 1'
_symmetry_Int_Tables_number 164
_symmetry_space_group_name_Hall '-P 3 2"'
_cell_length_a 3.9199
_cell_length_b 3.9199
_cell_length_c 4.7949
_cell_angle_alpha 90.00
_cell_angle_beta 90.00
_cell_angle_gamma 120.00
loop_
_atom_site_label
_atom_site_type_symbol
_atom_site_fract_x
_atom_site_fract_y
_atom_site_fract_z
Fe1 Fe 0.0000 0.0000 0.0000
Fe2 Fe 0.3333 0.6667 0.1591
Ge1 Ge 0.3333 0.6667 0.6608
```

## Properties
For the energy of formation from the pure elements, the calculation gives 0.00 eV/atom.

[4]
VASP calculation (SCAN) on PtAuCl at its PBEsol-relaxed geometry.

Geometry as CIF:
```
data_PtAuCl
_symmetry_space_group_name_H-M 'F -4 3 m'
_symmetry_Int_Tables_number 216
_symmetry_space_group_name_Hall 'F -4 2 3'
_cell_length_a 6.0764
_cell_length_b 6.0764
_cell_length_c 6.0764
_cell_angle_alpha 90.00
_cell_angle_beta 90.00
_cell_angle_gamma 90.00
loop_
_atom_site_label
_atom_site_type_symbol
_atom_site_fract_x
_atom_site_fract_y
_atom_site_fract_z
Pt1 Pt 0.0000 0.0000 0.0000
Au1 Au 0.0000 0.0000 0.5000
Cl1 Cl 0.2500 0.2500 0.7500
```

## Properties
For the raw formation energy, the calculation gives 1.111 eV per atom.

[5]
VASP calculation (SCAN) on K2AsAu at its PBEsol-relaxed geometry.

Geometry as CIF:
```
data_K2AsAu
_symmetry_space_group_name_H-M 'F -4 3 m'
_symmetry_Int_Tables_number 216
_symmetry_space_group_name_Hall 'F -4 2 3'
_cell_length_a 7.2441
_cell_length_b 7.2441
_cell_length_c 7.2441
_cell_angle_alpha 90.00
_cell_angle_beta 90.00
_cell_angle_gamma 90.00
loop_
_atom_site_label
_atom_site_type_symbol
_atom_site_fract_x
_atom_site_fract_y
_atom_site_fract_z
K1 K 0.0000 0.0000 0.0000
K2 K 0.2500 0.2500 0.2500
As1 As 0.2500 0.2500 0.7500
Au1 Au 0.0000 0.0000 0.5000
```

## Properties
For the energy of formation from the pure elements, the calculation gives -0.24 eV/atom.

[6]
VASP calculation (SCAN) on ZnRe2Bi at its PBEsol-relaxed geometry.

Geometry as CIF:
```
data_ZnRe2Bi
_symmetry_space_group_name_H-M 'F m -3 m'
_symmetry_Int_Tables_number 225
_symmetry_space_group_name_Hall '-F 4 2 3'
_cell_length_a 6.3971
_cell_length_b 6.3971
_cell_length_c 6.3971
_cell_angle_alpha 90.00
_cell_angle_beta 90.00
_cell_angle_gamma 90.00
loop_
_atom_site_label
_atom_site_type_symbol
_atom_site_fract_x
_atom_site_fract_y
_atom_site_fract_z
Zn1 Zn 0.0000 0.0000 0.0000
Re1 Re 0.2500 0.2500 0.2500
Bi1 Bi 0.0000 0.0000 0.5000
```

## Properties
For the energy of formation from the pure elements, the calculation gives 1.14 eV/atom.

[7]
VASP calculation (SCAN) on HfTePI2 at its PBEsol-relaxed geometry.

Geometry as CIF:
```
data_HfTePI2
_symmetry_space_group_name_H-M 'P 4/m m m'
_symmetry_Int_Tables_number 123
_symmetry_space_group_name_Hall '-P 4 2'
_cell_length_a 5.2141
_cell_length_b 5.2141
_cell_length_c 5.2105
_cell_angle_alpha 90.00
_cell_angle_beta 90.00
_cell_angle_gamma 90.00
loop_
_atom_site_label
_atom_site_type_symbol
_atom_site_fract_x
_atom_site_fract_y
_atom_site_fract_z
Hf1 Hf 0.0000 0.0000 0.0000
Te1 Te 0.5000 0.5000 0.0000
P1 P 0.5000 0.5000 0.5000
I1 I 0.0000 0.5000 0.5000
```

## Properties
For the raw formation energy, the calculation gives 0.808 eV per atom.

[8]
VASP calculation (SCAN) on BaNd2In2O7 at its PBEsol-relaxed geometry.

Geometry as CIF:
```
data_BaNd2In2O7
_symmetry_space_group_name_H-M 'P 42/m n m'
_symmetry_Int_Tables_number 136
_symmetry_space_group_name_Hall '-P 4n 2n'
_cell_length_a 5.8931
_cell_length_b 5.8931
_cell_length_c 20.4537
_cell_angle_alpha 90.00
_cell_angle_beta 90.00
_cell_angle_gamma 90.00
loop_
_atom_site_label
_atom_site_type_symbol
_atom_site_fract_x
_atom_site_fract_y
_atom_site_fract_z
Ba1 Ba 0.2396 0.2396 0.0000
Nd1 Nd 0.2204 0.2204 0.1857
In1 In 0.2405 0.2405 0.3967
O1 O 0.0000 0.0000 0.0917
O2 O 0.0000 0.0000 0.3625
O3 O 0.0000 0.5000 0.1180
O4 O 0.1789 0.8211 0.2117
O5 O 0.2022 0.2022 0.5000
```

## Properties
For the raw formation energy, the calculation gives -2.786 eV per atom.

What is the formula in the fourth record?
PtAuCl

Which formula does entry 6 have?
ZnRe2Bi

Please write out number 1 again, unchanged.
VASP calculation (SCAN) on Cr2FeRe at its PBEsol-relaxed geometry.

Geometry as CIF:
```
data_Cr2FeRe
_symmetry_space_group_name_H-M 'P m m m'
_symmetry_Int_Tables_number 47
_symmetry_space_group_name_Hall '-P 2 2'
_cell_length_a 2.9449
_cell_length_b 4.0340
_cell_length_c 4.0497
_cell_angle_alpha 90.00
_cell_angle_beta 90.00
_cell_angle_gamma 90.00
loop_
_atom_site_label
_atom_site_type_symbol
_atom_site_fract_x
_atom_site_fract_y
_atom_site_fract_z
Cr1 Cr 0.0000 0.0000 0.0000
Cr2 Cr 0.5000 0.5000 0.0000
Fe1 Fe 0.0000 0.5000 0.5000
Re1 Re 0.5000 0.0000 0.5000
```

## Properties
For the energy of formation from the pure elements, the calculation gives 0.00 eV/atom. The calculation puts the energy above the most stable polymorph in this dataset at 0 meV per atom.